a | # Tb12Ni6Au (PBE, relaxed)
data_Tb12Ni6Au
_symmetry_space_group_name_H-M 'I m -3'
_symmetry_Int_Tables_number 204
_symmetry_space_group_name_Hall '-I 2 2 3'
_cell_length_a 9.6622
_cell_length_b 9.6622
_cell_length_c 9.6622
_cell_angle_alpha 90.00
_cell_angle_beta 90.00
_cell_angle_gamma 90.00
loop_
_atom_site_label
_atom_site_type_symbol
_atom_site_fract_x
_atom_site_fract_y
_atom_site_fract_z
Tb1 Tb 0.0000 0.3010 0.1854
Ni1 Ni 0.0000 0.1251 0.5000
Au1 Au 0.0000 0.0000 0.0000
# - spin magnetization (μB per cell) = 0.00
# - DOS at the Fermi energy (states/eV/cell) = 43.90
# - volume (Å³/cell) = 902

---

b | # Tb12Ni6Au (PBE, relaxed)
data_Tb12Ni6Au
_symmetry_space_group_name_H-M 'R -3'
_symmetry_Int_Tables_number 148
_symmetry_space_group_name_Hall '-R 3'
_cell_length_a 12.8929
_cell_length_b 12.8929
_cell_length_c 10.4779
_cell_angle_alpha 90.00
_cell_angle_beta 90.00
_cell_angle_gamma 120.00
loop_
_atom_site_label
_atom_site_type_symbol
_atom_site_fract_x
_atom_site_fract_y
_atom_site_fract_z
Tb1 Tb 0.0316 0.2090 0.3804
Tb2 Tb 0.0339 0.2189 0.8871
Ni1 Ni 0.0447 0.2586 0.6418
Au1 Au 0.0000 0.0000 0.0000
# - spin magnetization (μB per cell) = 0.00
# - DOS at the Fermi energy (states/eV/cell) = 58.20
# - volume (Å³/cell) = 1508

---

The least stable of them is b.